1.
Below is a relaxed LaP2OsCl crystal, with properties calculated at the GGA-PBE level.

Results
SG: P4/mmm
energy relative to the lowest polymorph listed for this composition: 0.000 eV per atom

abc: 4.5791 4.5791 5.0928
angles: 90.00 90.00 90.00
With the nearest neighbours (Å) after each atom.
Element x y z (fractional)
La1 0.0000 0.0000 0.0000  4 Cl 3.24, 8 P 3.42
P1 0.0000 0.5000 0.5000  2 Os 2.29
P2 0.5000 0.0000 0.5000  2 Os 2.29
Os1 0.5000 0.5000 0.5000  4 P 2.29, 2 Cl 2.55
Cl1 0.5000 0.5000 0.0000  2 Os 2.55


2.
Below is a relaxed La4POsCl2 crystal, with properties calculated at the GGA-PBE level.

Results
SG: P2/m

abc: 7.4614 4.1799 7.5974
angles: 90.00 106.55 90.00
With the nearest neighbours (Å) after each atom.
Element x y z (fractional)
La1 0.2283 0.0000 0.2142  2 Os 2.89, 1 P 2.94, 1 Cl 3.12
La2 0.2493 0.5000 0.7918  1 Os 2.76, 2 P 2.95
La3 0.7507 0.5000 0.2082  1 Os 2.76, 2 P 2.95
La4 0.7717 0.0000 0.7858  2 Os 2.89, 1 P 2.94, 1 Cl 3.12
P1 0.5000 0.0000 0.0000  6 La 2.94-2.95
Os1 0.0000 0.5000 0.0000  6 La 2.76-2.89
Cl1 0.0000 0.0000 0.5000  6 La 3.12-3.22
Cl2 0.5000 0.5000 0.5000  6 La 3.27-3.28


3.
Below is a relaxed LaP2OsCl crystal, with properties calculated at the GGA-PBE level.

Results
SG: P4/mmm
energy relative to the lowest polymorph listed for this composition: 1.679 eV per atom

abc: 5.5794 5.5794 5.2751
angles: 90.00 90.00 90.00
With the nearest neighbours (Å) after each atom.
Element x y z (fractional)
La1 0.0000 0.0000 0.0000  2 Cl 2.64, 4 P 2.79
P1 0.0000 0.5000 0.0000  2 La 2.79
P2 0.5000 0.0000 0.0000  2 La 2.79
Os1 0.5000 0.5000 0.5000  8 P 3.84, 4 Cl 3.95
Cl1 0.0000 0.0000 0.5000  2 La 2.64


4.
Below is a relaxed La8P3OsCl4 crystal, with properties calculated at the GGA-PBE level.

Results
SG: R-3m

abc: 8.5513 8.5513 8.5513
angles: 59.56 59.56 59.56
With the nearest neighbours (Å) after each atom.
Element x y z (fractional)
La1 0.2416 0.2416 0.2416  3 P 2.91, 3 Cl 3.12
La2 0.2483 0.7361 0.7361  1 Os 2.85, 2 P 2.92, 3 Cl 3.12-3.18
La3 0.2639 0.2639 0.7517  1 Os 2.85, 2 P 2.92, 3 Cl 3.12-3.18
La4 0.2639 0.7517 0.2639  1 Os 2.85, 2 P 2.92, 3 Cl 3.12-3.18
La5 0.7361 0.2483 0.7361  1 Os 2.85, 2 P 2.92, 3 Cl 3.12-3.18
La6 0.7361 0.7361 0.2483  1 Os 2.85, 2 P 2.92, 3 Cl 3.12-3.18
La7 0.7517 0.2639 0.2639  1 Os 2.85, 2 P 2.92, 3 Cl 3.12-3.18
La8 0.7584 0.7584 0.7584  3 P 2.91, 3 Cl 3.12
P1 0.0000 0.0000 0.5000  6 La 2.91-2.92
P2 0.0000 0.5000 0.0000  6 La 2.91-2.92
P3 0.5000 0.0000 0.0000  6 La 2.91-2.92
Os1 0.5000 0.5000 0.5000  6 La 2.85
Cl1 0.0000 0.0000 0.0000  6 La 3.18
Cl2 0.0000 0.5000 0.5000  6 La 3.12
Cl3 0.5000 0.0000 0.5000  6 La 3.12
Cl4 0.5000 0.5000 0.0000  6 La 3.12


5.
Below is a relaxed La6P2OsCl3 crystal, with properties calculated at the GGA-PBE level.

Results
SG: C2/m

abc: 9.5321 9.5321 8.8157
angles: 103.78 103.78 25.32
With the nearest neighbours (Å) after each atom.
Element x y z (fractional)
La1 0.0036 0.0036 0.2281  2 Os 2.89, 1 P 2.92, 3 Cl 3.16-3.19
La2 0.3261 0.3261 0.4316  3 P 2.89-2.91, 3 Cl 3.14
La3 0.3463 0.3463 0.9009  1 Os 2.78, 2 P 2.93
La4 0.6537 0.6537 0.0991  1 Os 2.78, 2 P 2.93
La5 0.6739 0.6739 0.5684  3 P 2.89-2.91, 3 Cl 3.14
La6 0.9964 0.9964 0.7719  2 Os 2.89, 1 P 2.92, 3 Cl 3.16-3.19
P1 0.1651 0.1651 0.3373  6 La 2.89-2.93
P2 0.8349 0.8349 0.6627  6 La 2.89-2.93
Os1 0.5000 0.5000 0.0000  6 La 2.78-2.89
Cl1 0.1713 0.1713 0.8332  6 La 3.14-3.22
Cl2 0.5000 0.5000 0.5000  6 La 3.14-3.19
Cl3 0.8287 0.8287 0.1668  6 La 3.14-3.22


6.
Below is a relaxed La8Os3PdCl4 crystal, with properties calculated at the GGA-PBE level.

Results
SG: R-3m

abc: 9.0366 9.0366 9.0366
angles: 55.10 55.10 55.10
With the nearest neighbours (Å) after each atom.
Element x y z (fractional)
La1 0.2213 0.7419 0.7419  2 Os 2.84, 1 Pd 2.96
La2 0.2359 0.2359 0.2359  3 Os 2.89
La3 0.2581 0.2581 0.7787  2 Os 2.84, 1 Pd 2.96
La4 0.2581 0.7787 0.2581  2 Os 2.84, 1 Pd 2.96
La5 0.7419 0.2213 0.7419  2 Os 2.84, 1 Pd 2.96
La6 0.7419 0.7419 0.2213  2 Os 2.84, 1 Pd 2.96
La7 0.7641 0.7641 0.7641  3 Os 2.89
La8 0.7787 0.2581 0.2581  2 Os 2.84, 1 Pd 2.96
Os1 0.0000 0.0000 0.5000  6 La 2.84-2.89
Os2 0.0000 0.5000 0.0000  6 La 2.84-2.89
Os3 0.5000 0.0000 0.0000  6 La 2.84-2.89
Pd1 0.5000 0.5000 0.5000  6 La 2.96
Cl1 0.0000 0.0000 0.0000  6 La 3.23
Cl2 0.0000 0.5000 0.5000  6 La 3.29-3.34
Cl3 0.5000 0.0000 0.5000  6 La 3.29-3.34
Cl4 0.5000 0.5000 0.0000  6 La 3.29-3.34


Energy relative to the elements, uncorrected readings, ordered: -0.35 -1.30 1.33 -1.51 -1.44 -1.03 eV/atom
Raw total energy readings, ordered: -6.1128 -6.3085 -4.4338 -6.1497 -6.2026 -6.3873 eV/atom
D(E_F) readings, ordered: 0.87 0.72 1.58 0.60 0.56 0.41 states/eV per atom